Entry 1:
A plane-wave DFT calculation with PBE was carried out for crystalline KAl3Hg at its relaxed geometry.

a = 5.3181 Å, b = 5.3181 Å, c = 5.3181 Å
α = 90.00°, β = 90.00°, γ = 90.00°
Element x y z (fractional)
Al: 0.0000 0.5000 0.0000
Al: 0.5000 0.0000 0.0000
Al: 0.0000 0.0000 0.5000
K: 0.5000 0.5000 0.5000
Hg: 0.0000 0.0000 0.0000

* calculated formation energy: 0.542 eV per atom
* total moment: 0.0 μB per cell
* density: 3.54 Mg/m³
* space-group type: Pm-3m, No. 221
* VASP energy: -1.984 eV/atom

***

Entry 2:
A plane-wave DFT calculation with PBE was carried out for crystalline Ba2YScIn at its relaxed geometry.

a = 6.4128 Å, b = 5.4534 Å, c = 6.4128 Å
α = 90.00°, β = 90.00°, γ = 90.00°
Element x y z (fractional)
Ba: 0.5000 0.0000 0.0000
Ba: 0.0000 0.0000 0.5000
Y: 0.0000 0.0000 0.0000
In: 0.5000 0.5000 0.5000
Sc: 0.0000 0.5000 0.0000

* calculated formation energy: 0.715 eV per atom
* total moment: 0.0 μB per cell
* density: 3.87 Mg/m³
* space-group type: P4/mmm, No. 123
* VASP energy: -3.161 eV/atom

***

Entry 3:
A plane-wave DFT calculation with PBE was carried out for crystalline PmErAu3 at its relaxed geometry.

a = 5.2803 Å, b = 6.1677 Å, c = 8.4412 Å
α = 116.22°, β = 108.23°, γ = 90.00°
Element x y z (fractional)
Au: 0.9980 0.2434 0.9959
Au: 0.0020 0.7566 0.0041
Au: 0.7903 0.7035 0.5805
Au: 0.3804 0.1743 0.7609
Au: 0.2097 0.2965 0.4195
Au: 0.6196 0.8257 0.2391
Er: 0.1858 0.7601 0.3716
Er: 0.8142 0.2399 0.6284
Pm: 0.5947 0.2902 0.1894
Pm: 0.4053 0.7098 0.8106

* calculated formation energy: -0.754 eV per atom
* total moment: 0.0 μB per cell
* density: 12.98 Mg/m³
* space-group type: C2/m, No. 12
* VASP energy: -4.583 eV/atom